No. 1
Material: RhSe2Cl
Method: DFT, PBE-GGA
State: optimized geometry

## Properties
- total energy (eV per atom) = -3.58
- formation energy without anion corrections (eV per formula unit) = 1.837
- calculated density (kg/m3) = 5432
- E above lowest polymorph (meV per atom) = 800
- symmetry = No. 123

The structure in POSCAR format:
```
RhSe2Cl
1.0
3.663 0.000 0.000
0.000 3.660 0.000
0.000 0.000 6.756
Se Cl Rh
2 1 1
Cartesian
0.000 0.000 0.000 Se
1.831 1.830 0.000 Se
1.831 0.000 3.378 Cl
0.000 1.830 3.378 Rh
```

---

No. 2
Material: La3SeS3
Method: DFT, PBE-GGA
State: optimized geometry

## Properties
- total energy (eV per atom) = -6.49
- formation energy without anion corrections (eV per formula unit) = -14.766
- calculated density (kg/m3) = 5056
- E above lowest polymorph (meV per atom) = 0
- symmetry = No. 148

The structure in POSCAR format:
```
La3SeS3
1.0
-0.738 4.295 -6.414
-7.193 2.803 -0.734
-0.286 7.569 1.662
La Se S
6 2 6
Cartesian
-4.762 7.652 -5.888 La
-2.685 10.184 -2.230 La
-1.186 6.663 -3.938 La
-7.031 8.004 -1.548 La
-3.455 7.015 0.402 La
-5.533 4.483 -3.256 La
-2.737 4.886 -1.828 Se
-5.480 9.781 -3.659 Se
-7.014 6.745 -4.299 S
-3.349 5.212 -5.219 S
-1.203 7.922 -1.187 S
-2.317 9.146 -4.915 S
-5.900 5.521 -0.572 S
-4.869 9.455 -0.267 S
```

---

Q: Which value of formation energy without anion corrections does entry 2 give?
A: -14.766 eV per formula unit

---

Q: Among the records above, which one has the lowest total energy?
A: La3SeS3

---

Q: Which of these has the highest E above lowest polymorph?
A: RhSe2Cl

---

Please write out number 2 again, unchanged.
Material: La3SeS3
Method: DFT, PBE-GGA
State: optimized geometry

## Properties
- total energy (eV per atom) = -6.49
- formation energy without anion corrections (eV per formula unit) = -14.766
- calculated density (kg/m3) = 5056
- E above lowest polymorph (meV per atom) = 0
- symmetry = No. 148

The structure in POSCAR format:
```
La3SeS3
1.0
-0.738 4.295 -6.414
-7.193 2.803 -0.734
-0.286 7.569 1.662
La Se S
6 2 6
Cartesian
-4.762 7.652 -5.888 La
-2.685 10.184 -2.230 La
-1.186 6.663 -3.938 La
-7.031 8.004 -1.548 La
-3.455 7.015 0.402 La
-5.533 4.483 -3.256 La
-2.737 4.886 -1.828 Se
-5.480 9.781 -3.659 Se
-7.014 6.745 -4.299 S
-3.349 5.212 -5.219 S
-1.203 7.922 -1.187 S
-2.317 9.146 -4.915 S
-5.900 5.521 -0.572 S
-4.869 9.455 -0.267 S
```